# PBE-GGA BaCa2PdN, relaxed
# spin magnetization: 0.00 μB per formula unit
# energy relative to the elements, uncorrected: -2.66 eV/f.u.
data_BaCa2PdN
_chemical_formula_sum 'Ba1 Ca2 Pd1 N1'
_cell_length_a 4.780
_cell_length_b 4.780
_cell_length_c 5.694
_cell_angle_alpha 90.00
_cell_angle_beta 90.00
_cell_angle_gamma 90.00
_symmetry_space_group_name_H-M 'P 4/m m m'
_symmetry_Int_Tables_number 123
_symmetry_space_group_name_Hall '-P 4 2'
loop_
_atom_site_label
_atom_site_type_symbol
_atom_site_fract_x
_atom_site_fract_y
_atom_site_fract_z
Ba1 Ba 0.000 0.000 0.000
Ca1 Ca 0.000 0.500 0.500
Pd1 Pd 0.500 0.500 0.000
N1 N 0.000 0.000 0.500